Here is a geometry-optimized RbNa2CoF8 structure from Alexandria. Energies are from PBE with a Hubbard U.

Results
uncorrected energy: -4.09 eV per atom
volume: 172.91 Å³ per cell

Cell lengths 4.733, 5.321, 7.285 Å; angles 88.53, 71.86, 82.72 degrees
Atoms (fractional coordinates):
Rb  0.000  0.000  0.000
Na  0.333  0.528  0.308
Na  0.667  0.472  0.692
Co  0.500  0.000  0.500
F  0.186  0.244  0.594
F  0.281  0.748  0.610
F  0.293  0.481  0.005
F  0.402  0.975  0.281
F  0.598  0.025  0.719
F  0.707  0.519  0.995
F  0.719  0.252  0.390
F  0.814  0.756  0.406